--- a ---
Computed, not measured: an optimized crystal structure of TbHoAsO at the PBE-GGA level of DFT.

The structure belongs to space group Pmc2_1 (No. 26); the cell edges are 4.133, 7.661 and 5.856 Å and the angles 90.00°, 90.00° and 90.00°. The inequivalent atoms are Tb at (0.000, 0.113, 0.000), Ho at (0.500, 0.290, 0.431), As at (0.500, 0.344, 0.923) and O at (0.000, 0.175, 0.376).

--- b ---
Computed, not measured: an optimized crystal structure of TbHoAsO at the PBE-GGA level of DFT.

The structure belongs to space group P4/nmm (No. 129, origin choice 2); the cell edges are 4.328, 4.328 and 8.776 Å and the angles 90.00°, 90.00° and 90.00°. The inequivalent atoms are Tb at (0.250, 0.250, 0.103), Ho at (0.250, 0.750, 0.500), As at (0.250, 0.250, 0.705) and O at (0.250, 0.750, 0.000).

Question: of the structures shown, which is the most stable? Reply: a.